DFT (GGA-PBE) results for an optimized crystal structure of LaNd2Y5.

Results
Space-group type: Pbam (55)
E above lowest polymorph, meV per atom: 0

Cell and atoms, written as POSCAR:
```
LaNd2Y5
1.0
7.228 0.000 0.000
0.000 20.375 0.000
0.000 0.000 7.264
La Nd Y
4 8 20
Direct
0.249 0.126 0.000
0.251 0.626 0.000
0.749 0.374 0.000
0.751 0.874 0.000
0.000 0.500 0.251
0.000 0.500 0.749
0.248 0.126 0.500
0.252 0.626 0.500
0.500 0.000 0.251
0.500 0.000 0.749
0.748 0.374 0.500
0.752 0.874 0.500
0.000 0.000 0.251
0.000 0.000 0.749
0.003 0.750 0.251
0.003 0.750 0.749
0.248 0.375 0.000
0.248 0.375 0.500
0.252 0.875 0.000
0.252 0.875 0.500
0.497 0.250 0.251
0.497 0.250 0.749
0.500 0.500 0.251
0.500 0.500 0.749
0.503 0.750 0.251
0.503 0.750 0.749
0.748 0.125 0.000
0.748 0.125 0.500
0.752 0.625 0.000
0.752 0.625 0.500
0.997 0.250 0.251
0.997 0.250 0.749
```

---

DFT (GGA-PBE) results for an optimized crystal structure of La2Nd9Y.

Results
Space-group type: P4/mmm (123)

Cell and atoms, written as POSCAR:
```
La2Nd9Y
1.0
5.209 0.000 0.000
0.000 5.209 0.000
0.000 0.000 15.622
La Nd Y
2 9 1
Direct
0.000 0.000 0.167
0.000 0.000 0.833
0.000 0.500 0.000
0.000 0.500 0.336
0.000 0.500 0.664
0.500 0.000 0.000
0.500 0.000 0.336
0.500 0.000 0.664
0.500 0.500 0.168
0.500 0.500 0.500
0.500 0.500 0.832
0.000 0.000 0.500
```

---

DFT (GGA-PBE) results for an optimized crystal structure of La3Nd6Y.

Results
Space-group type: Cmc2_1 (36)
E above lowest polymorph, meV per atom: 0

Cell and atoms, written as POSCAR:
```
La3Nd6Y
1.0
6.805 -8.234 0.000
6.805 8.234 0.000
0.000 0.000 6.421
La Nd Y
6 12 2
Direct
0.134 0.866 0.500
0.222 0.364 0.867
0.364 0.222 0.367
0.636 0.778 0.867
0.778 0.636 0.367
0.866 0.134 0.000
0.060 0.180 0.484
0.064 0.485 0.311
0.180 0.060 0.984
0.242 0.758 0.029
0.439 0.561 0.139
0.485 0.064 0.811
0.515 0.936 0.311
0.561 0.439 0.639
0.758 0.242 0.529
0.820 0.940 0.484
0.936 0.515 0.811
0.940 0.820 0.984
0.346 0.654 0.589
0.654 0.346 0.089
```

---

DFT (GGA-PBE) results for an optimized crystal structure of La3NdY3.

Results
Space-group type: R3m (160)
E above lowest polymorph, meV per atom: 93

Cell and atoms, written as POSCAR:
```
La3NdY3
1.0
5.414 3.126 2.414
-5.414 3.126 2.414
0.000 -6.251 2.414
La Nd Y
3 1 3
Direct
0.044 0.478 0.478
0.478 0.044 0.478
0.478 0.478 0.044
0.508 0.508 0.508
0.626 0.987 0.987
0.987 0.626 0.987
0.987 0.987 0.626
```

---

DFT (GGA-PBE) results for an optimized crystal structure of LaNd5Y2.

Results
Space-group type: Pbam (55)
E above lowest polymorph, meV per atom: 0

Cell and atoms, written as POSCAR:
```
LaNd5Y2
1.0
7.324 0.000 0.000
0.000 14.653 0.000
0.000 0.000 5.167
La Nd Y
2 10 4
Direct
0.000 0.000 0.000
0.500 0.500 0.000
0.000 0.500 0.000
0.001 0.251 0.000
0.249 0.625 0.500
0.251 0.125 0.500
0.499 0.751 0.000
0.500 0.000 0.000
0.501 0.249 0.000
0.749 0.875 0.500
0.751 0.375 0.500
0.999 0.749 0.000
0.249 0.874 0.500
0.251 0.374 0.500
0.749 0.626 0.500
0.751 0.126 0.500
```

---

DFT (GGA-PBE) results for an optimized crystal structure of La12NdY3.

Results
Space-group type: P4/mmm (123)

Cell and atoms, written as POSCAR:
```
La12NdY3
1.0
5.227 0.000 0.000
0.000 5.227 0.000
0.000 0.000 20.902
La Nd Y
12 1 3
Direct
0.000 0.000 0.000
0.000 0.000 0.249
0.000 0.000 0.500
0.000 0.000 0.751
0.000 0.500 0.125
0.000 0.500 0.374
0.000 0.500 0.626
0.000 0.500 0.875
0.500 0.000 0.125
0.500 0.000 0.374
0.500 0.000 0.626
0.500 0.000 0.875
0.500 0.500 0.500
0.500 0.500 0.000
0.500 0.500 0.249
0.500 0.500 0.751
```

---

DFT (GGA-PBE) results for an optimized crystal structure of LaNdY.

Results
Space-group type: P3m1 (156)
E above lowest polymorph, meV per atom: 0

Cell and atoms, written as POSCAR:
```
LaNdY
1.0
3.665 0.000 0.000
-1.833 3.174 0.000
0.000 0.000 8.990
La Nd Y
1 1 1
Direct
0.000 0.000 0.000
0.667 0.333 0.343
0.333 0.667 0.668
```

---

DFT (GGA-PBE) results for an optimized crystal structure of La11Nd4Y9.

Results
Space-group type: Cmmm (65)

Cell and atoms, written as POSCAR:
```
La11Nd4Y9
1.0
8.633 -13.038 0.000
8.633 13.038 0.000
0.000 0.000 3.762
La Nd Y
11 4 9
Direct
0.000 0.000 0.000
0.046 0.408 0.000
0.159 0.841 0.000
0.292 0.292 0.000
0.367 0.633 0.000
0.408 0.046 0.000
0.592 0.954 0.000
0.633 0.367 0.000
0.708 0.708 0.000
0.841 0.159 0.000
0.954 0.592 0.000
0.244 0.445 0.500
0.445 0.244 0.500
0.555 0.756 0.500
0.756 0.555 0.500
0.066 0.212 0.500
0.164 0.634 0.500
0.212 0.066 0.500
0.366 0.836 0.500
0.500 0.500 0.500
0.634 0.164 0.500
0.788 0.934 0.500
0.836 0.366 0.500
0.934 0.788 0.500
```

---

DFT (GGA-PBE) results for an optimized crystal structure of La2Nd2Y5.

Results
Space-group type: Ima2 (46)
E above lowest polymorph, meV per atom: 60

Cell and atoms, written as POSCAR:
```
La2Nd2Y5
1.0
-7.582 6.018 3.426
7.582 -6.018 3.426
7.582 6.018 -3.426
La Nd Y
4 4 10
Direct
0.001 0.127 0.128
0.001 0.373 0.374
0.999 0.627 0.626
0.999 0.873 0.872
0.448 0.206 0.743
0.463 0.706 0.257
0.546 0.046 0.500
0.546 0.546 0.000
0.117 0.414 0.810
0.117 0.807 0.204
0.390 0.899 0.991
0.442 0.316 0.411
0.442 0.531 0.625
0.603 0.307 0.190
0.603 0.914 0.796
0.905 0.031 0.589
0.905 0.816 0.375
0.909 0.399 0.009
```

---

DFT (GGA-PBE) results for an optimized crystal structure of La7Nd3Y2.

Results
Space-group type: P2/m (10)
E above lowest polymorph, meV per atom: 0

Cell and atoms, written as POSCAR:
```
La7Nd3Y2
1.0
6.615 0.000 0.000
0.000 3.607 0.000
-1.853 0.000 17.962
La Nd Y
7 3 2
Direct
0.000 0.000 0.000
0.222 0.500 0.171
0.262 0.500 0.492
0.272 0.000 0.832
0.728 0.000 0.168
0.738 0.500 0.508
0.778 0.500 0.829
0.455 0.000 0.336
0.500 0.500 0.000
0.545 0.000 0.664
0.056 0.500 0.669
0.944 0.500 0.331
```

---

DFT (GGA-PBE) results for an optimized crystal structure of La3NdY2.

Results
Space-group type: P2_1/m (11)
E above lowest polymorph, meV per atom: 57

Cell and atoms, written as POSCAR:
```
La3NdY2
1.0
9.940 0.000 0.000
0.000 3.621 0.000
-0.863 0.000 11.773
La Nd Y
6 2 4
Direct
0.075 0.250 0.119
0.243 0.250 0.864
0.401 0.250 0.607
0.599 0.750 0.393
0.757 0.750 0.136
0.925 0.750 0.881
0.244 0.750 0.357
0.756 0.250 0.643
0.078 0.750 0.619
0.439 0.250 0.137
0.561 0.750 0.863
0.922 0.250 0.381
```

---

DFT (GGA-PBE) results for an optimized crystal structure of La12Nd5Y2.

Results
Space-group type: C2/m (12)
E above lowest polymorph, meV per atom: 71

Cell and atoms, written as POSCAR:
```
La12Nd5Y2
1.0
9.806 -3.825 0.000
9.806 3.825 0.000
-4.517 0.000 9.199
La Nd Y
12 5 2
Direct
0.006 0.006 0.215
0.067 0.599 0.502
0.091 0.592 0.152
0.401 0.933 0.498
0.408 0.909 0.848
0.489 0.489 0.660
0.511 0.511 0.340
0.592 0.091 0.152
0.599 0.067 0.502
0.909 0.408 0.848
0.933 0.401 0.498
0.994 0.994 0.785
0.000 0.000 0.500
0.174 0.174 0.165
0.322 0.322 0.803
0.678 0.678 0.197
0.826 0.826 0.835
0.299 0.701 0.000
0.701 0.299 0.000
```

---

no.,energy of formation from the pure elements (eV/atom),calculated density (g cm⁻³),density of states at the Fermi level (states/eV/f.u.)
1,0.0126,5.414,10.6
2,0.0148,6.523,20.9
3,0.1671,6.328,14.4
4,0.2252,5.609,10.2
5,0.0111,6.217,11.4
6,0.0068,6.043,23.4
7,0.0164,5.907,4.6
8,0.0593,5.696,36.1
9,0.1983,5.368,15.9
10,0.0633,6.134,18.7
11,0.0738,5.790,10.0
12,0.1504,6.173,33.1